No. 1
CrInGaRu: optimized geometry, PBE-GGA.

The space group is F-43m (No. 216) and the conventional cell measures 6.313, 6.313 and 6.313 Å, with angles of 90.00, 90.00 and 90.00 degrees. The asymmetric unit holds Cr at (0.000, 0.000, 0.000), In at (0.250, 0.250, 0.750), Ga at (0.250, 0.250, 0.250) and Ru at (0.000, 0.000, 0.500).

The calculation puts the total energy at -6.1314 eV per atom. The formation enthalpy at 0 K comes out at 0.14 eV per formula unit. The calculation puts the total moment at 12.56 Bohr magnetons per cell. Its crystal system is cubic.


No. 2
CrInGa2S6: optimized geometry, PBE-GGA.

The space group is C2/c (No. 15) and the conventional cell measures 11.985, 11.014 and 6.411 Å, with angles of 90.00, 101.80 and 90.00 degrees. The asymmetric unit holds Cr at (0.000, 0.089, 0.250), In at (0.000, 0.269, 0.750), Ga at (0.191, 0.405, 0.300), S at (0.107, 0.079, 0.615), S at (0.127, 0.230, 0.124) and S at (0.132, 0.424, 0.613).

The calculation puts the total energy at -4.9125 eV per atom. The calculation puts the total moment at 11.90 Bohr magnetons per cell. Its crystal system is monoclinic.


No. 3
CrInGaSe2: optimized geometry, PBE-GGA.

The space group is P4/mmm (No. 123) and the conventional cell measures 5.162, 5.162 and 5.066 Å, with angles of 90.00, 90.00 and 90.00 degrees. The asymmetric unit holds Cr at (0.000, 0.000, 0.000), In at (0.500, 0.500, 0.000), Ga at (0.500, 0.500, 0.500) and Se at (0.000, 0.500, 0.500).

The calculation puts the total energy at -3.9465 eV per atom. The calculation puts the total moment at 4.65 Bohr magnetons per cell. Its crystal system is tetragonal.


No. 4
SrCrIn2Ga: optimized geometry, PBE-GGA.

The space group is P4/mmm (No. 123) and the conventional cell measures 5.121, 5.121 and 4.864 Å, with angles of 90.00, 90.00 and 90.00 degrees. The asymmetric unit holds Sr at (0.000, 0.000, 0.000), Cr at (0.500, 0.500, 0.500), In at (0.000, 0.500, 0.500) and Ga at (0.500, 0.500, 0.000).

The calculation puts the total energy at -4.0059 eV per atom. The formation enthalpy at 0 K comes out at -0.22 eV per formula unit. The calculation puts the total moment at 0.87 Bohr magnetons per cell. Its crystal system is tetragonal.


No. 5
CrIn2GaTe6: optimized geometry, PBE-GGA.

The space group is C2/c (No. 15) and the conventional cell measures 14.041, 12.633 and 7.332 Å, with angles of 90.00, 100.08 and 90.00 degrees. The asymmetric unit holds Cr at (0.000, 0.084, 0.250), In at (0.182, 0.406, 0.285), Ga at (0.000, 0.250, 0.750), Te at (0.103, 0.078, 0.610), Te at (0.121, 0.217, 0.089) and Te at (0.144, 0.388, 0.648).

The calculation puts the total energy at -3.8802 eV per atom. The calculation puts the total moment at 11.95 Bohr magnetons per cell. Its crystal system is monoclinic.


No. 6
YCr2InGa: optimized geometry, PBE-GGA.

The space group is P4/mmm (No. 123) and the conventional cell measures 5.078, 5.078 and 5.732 Å, with angles of 90.00, 90.00 and 90.00 degrees. The asymmetric unit holds Y at (0.000, 0.000, 0.000), Cr at (0.000, 0.500, 0.500), In at (0.000, 0.000, 0.500) and Ga at (0.500, 0.500, 0.000).

The calculation puts the total energy at -5.2671 eV per atom. The formation enthalpy at 0 K comes out at 5.14 eV per formula unit. The calculation puts the total moment at 7.71 Bohr magnetons per cell. Its crystal system is tetragonal.


No. 7
CrGa2Ir2: optimized geometry, PBE-GGA.

The space group is I4/mmm (No. 139) and the conventional cell measures 3.981, 3.981 and 10.339 Å, with angles of 90.00, 90.00 and 90.00 degrees. The asymmetric unit holds Cr at (0.000, 0.000, 0.000), Ga at (0.000, 0.000, 0.388) and Ir at (0.000, 0.500, 0.250).

The calculation puts the total energy at -6.2488 eV per atom. The formation enthalpy at 0 K comes out at 2.15 eV per formula unit. The calculation puts the total moment at 0.78 Bohr magnetons per cell. Its crystal system is tetragonal.


No. 8
CrGa2Ir2: optimized geometry, PBE-GGA.

The space group is P4/mbm (No. 127) and the conventional cell measures 7.250, 7.250 and 2.888 Å, with angles of 90.00, 90.00 and 90.00 degrees. The asymmetric unit holds Cr at (0.000, 0.000, 0.000), Ga at (0.138, 0.362, 0.000) and Ir at (0.161, 0.661, 0.500).

The calculation puts the total energy at -6.8421 eV per atom. The formation enthalpy at 0 K comes out at -0.81 eV per formula unit. The calculation puts the total moment at 8.05 Bohr magnetons per cell. Its crystal system is tetragonal.


No. 9
CrGaIr2: optimized geometry, PBE-GGA.

The space group is P4/mmm (No. 123) and the conventional cell measures 4.078, 4.078 and 3.413 Å, with angles of 90.00, 90.00 and 90.00 degrees. The asymmetric unit holds Cr at (0.000, 0.000, 0.000), Ga at (0.500, 0.500, 0.000) and Ir at (0.000, 0.500, 0.500).

The calculation puts the total energy at -7.8238 eV per atom. The formation enthalpy at 0 K comes out at -0.92 eV per formula unit. The calculation puts the total moment at 2.97 Bohr magnetons per cell. Its crystal system is tetragonal.


No. 10
CrGaIr3: optimized geometry, PBE-GGA.

The space group is Pm-3m (No. 221) and the conventional cell measures 4.486, 4.486 and 4.486 Å, with angles of 90.00, 90.00 and 90.00 degrees. The asymmetric unit holds Cr at (0.000, 0.000, 0.000), Ga at (0.500, 0.500, 0.500) and Ir at (0.000, 0.500, 0.500).

The calculation puts the total energy at -6.2712 eV per atom. The formation enthalpy at 0 K comes out at 7.88 eV per formula unit. The calculation puts the total moment at 0.26 Bohr magnetons per cell. Its crystal system is cubic.


No. 11
CrGa3Ir: optimized geometry, PBE-GGA.

The space group is Pm-3m (No. 221) and the conventional cell measures 4.808, 4.808 and 4.808 Å, with angles of 90.00, 90.00 and 90.00 degrees. The asymmetric unit holds Cr at (0.000, 0.000, 0.000), Ga at (0.000, 0.500, 0.500) and Ir at (0.500, 0.500, 0.500).

The calculation puts the total energy at -5.2548 eV per atom. The formation enthalpy at 0 K comes out at 1.29 eV per formula unit. The calculation puts the total moment at 5.52 Bohr magnetons per cell. Its crystal system is cubic.


No. 12
Cr2GaIr: optimized geometry, PBE-GGA.

The space group is I-42d (No. 122) and the conventional cell measures 6.862, 6.862 and 4.994 Å, with angles of 90.00, 90.00 and 90.00 degrees. The asymmetric unit holds Cr at (0.229, 0.250, 0.125), Ga at (0.000, 0.000, 0.500) and Ir at (0.000, 0.000, 0.000).

The calculation puts the total energy at -7.2543 eV per atom. The formation enthalpy at 0 K comes out at 2.12 eV per formula unit. The calculation puts the total moment at 0.01 Bohr magnetons per cell. Its crystal system is tetragonal.